1.
Below is crystalline RbPa2Te5 at its relaxed geometry, with properties calculated at the PBE level.

a b c (Å): 10.106 10.106 10.106
angles (deg): 131.17 131.17 71.55
Fractional coordinates of all 16 atoms:
Rb (0.250, 0.250, 0.000)
Rb (0.750, 0.750, 0.000)
Pa (0.152, 0.652, 0.805)
Pa (0.348, 0.152, 0.500)
Pa (0.652, 0.848, 0.500)
Pa (0.848, 0.348, 0.195)
Te (0.000, 0.000, 0.000)
Te (0.026, 0.232, 0.500)
Te (0.232, 0.732, 0.207)
Te (0.268, 0.474, 0.500)
Te (0.474, 0.974, 0.207)
Te (0.500, 0.500, 0.000)
Te (0.526, 0.026, 0.793)
Te (0.732, 0.526, 0.500)
Te (0.768, 0.268, 0.793)
Te (0.974, 0.768, 0.500)

2.
Below is crystalline Zr4TeC2S at its relaxed geometry, with properties calculated at the PBE level.

a b c (Å): 3.490 3.490 12.828
angles (deg): 90.00 90.00 120.00
Fractional coordinates of all 8 atoms:
Zr (0.000, 0.000, 0.142)
Zr (0.000, 0.000, 0.858)
Zr (0.333, 0.667, 0.330)
Zr (0.333, 0.667, 0.670)
Te (0.000, 0.000, 0.500)
C (0.667, 0.333, 0.236)
C (0.667, 0.333, 0.764)
S (0.333, 0.667, 0.000)

3.
Below is crystalline BaTbTm4 at its relaxed geometry, with properties calculated at the PBE level.

a b c (Å): 6.241 6.241 5.915
angles (deg): 90.00 90.00 90.22
Fractional coordinates of all 6 atoms:
Ba (0.000, 0.000, 0.000)
Tb (0.500, 0.500, 0.500)
Tm (0.173, 0.827, 0.500)
Tm (0.332, 0.332, 0.000)
Tm (0.668, 0.668, 0.000)
Tm (0.827, 0.173, 0.500)

4.
Below is crystalline KPrCoS3 at its relaxed geometry, with properties calculated at the PBE level.

a b c (Å): 11.195 4.105 12.050
angles (deg): 90.00 90.00 90.00
Fractional coordinates of all 24 atoms:
K (0.165, 0.250, 0.008)
K (0.335, 0.750, 0.508)
K (0.665, 0.250, 0.492)
K (0.835, 0.750, 0.992)
Pr (0.022, 0.250, 0.670)
Pr (0.478, 0.750, 0.170)
Pr (0.522, 0.250, 0.830)
Pr (0.978, 0.750, 0.330)
Co (0.244, 0.250, 0.292)
Co (0.256, 0.750, 0.792)
Co (0.744, 0.250, 0.208)
Co (0.756, 0.750, 0.708)
S (0.059, 0.750, 0.830)
S (0.117, 0.250, 0.441)
S (0.215, 0.750, 0.208)
S (0.285, 0.250, 0.708)
S (0.383, 0.750, 0.941)
S (0.441, 0.250, 0.330)
S (0.559, 0.750, 0.670)
S (0.617, 0.250, 0.059)
S (0.715, 0.750, 0.292)
S (0.785, 0.250, 0.792)
S (0.883, 0.750, 0.559)
S (0.941, 0.250, 0.170)

5.
Below is crystalline KErGaSe3 at its relaxed geometry, with properties calculated at the PBE level.

a b c (Å): 7.508 7.508 10.850
angles (deg): 90.00 90.00 144.89
Fractional coordinates of all 12 atoms:
K (0.248, 0.752, 0.750)
K (0.752, 0.248, 0.250)
Er (0.500, 0.500, 0.000)
Er (0.500, 0.500, 0.500)
Ga (0.016, 0.984, 0.250)
Ga (0.984, 0.016, 0.750)
Se (0.123, 0.877, 0.063)
Se (0.123, 0.877, 0.437)
Se (0.435, 0.565, 0.250)
Se (0.565, 0.435, 0.750)
Se (0.877, 0.123, 0.563)
Se (0.877, 0.123, 0.937)

6.
Below is crystalline KNbTe2AuS at its relaxed geometry, with properties calculated at the PBE level.

a b c (Å): 8.283 8.283 10.184
angles (deg): 90.00 90.00 152.36
Fractional coordinates of all 12 atoms:
K (0.249, 0.751, 0.750)
K (0.751, 0.249, 0.250)
Nb (0.500, 0.500, 0.000)
Nb (0.500, 0.500, 0.500)
Te (0.130, 0.870, 0.028)
Te (0.130, 0.870, 0.472)
Te (0.870, 0.130, 0.528)
Te (0.870, 0.130, 0.972)
Au (0.039, 0.961, 0.250)
Au (0.961, 0.039, 0.750)
S (0.444, 0.556, 0.250)
S (0.556, 0.444, 0.750)

7.
Below is crystalline AcTaB at its relaxed geometry, with properties calculated at the PBE level.

a b c (Å): 4.804 4.804 4.804
angles (deg): 60.00 60.00 60.00
Fractional coordinates of all 3 atoms:
Ac (0.000, 0.000, 0.000)
Ta (0.250, 0.250, 0.250)
B (0.750, 0.750, 0.750)

8.
Below is crystalline Ta2AgIr at its relaxed geometry, with properties calculated at the PBE level.

a b c (Å): 4.568 4.568 4.568
angles (deg): 60.00 60.00 60.00
Fractional coordinates of all 4 atoms:
Ta (0.000, 0.000, 0.000)
Ta (0.250, 0.250, 0.250)
Ag (0.500, 0.500, 0.500)
Ir (0.750, 0.750, 0.750)

9.
Below is crystalline KFeTe3Pb at its relaxed geometry, with properties calculated at the PBE level.

a b c (Å): 10.057 4.292 10.319
angles (deg): 90.00 106.76 90.00
Fractional coordinates of all 12 atoms:
K (0.224, 0.250, 0.201)
K (0.776, 0.750, 0.799)
Fe (0.425, 0.750, 0.936)
Fe (0.575, 0.250, 0.064)
Te (0.165, 0.750, 0.908)
Te (0.187, 0.750, 0.459)
Te (0.474, 0.250, 0.803)
Te (0.526, 0.750, 0.197)
Te (0.813, 0.250, 0.541)
Te (0.835, 0.250, 0.092)
Pb (0.133, 0.250, 0.660)
Pb (0.867, 0.750, 0.340)

10.
Below is crystalline TbErFe at its relaxed geometry, with properties calculated at the PBE level.

a b c (Å): 4.647 4.647 4.647
angles (deg): 60.00 60.00 60.00
Fractional coordinates of all 3 atoms:
Tb (0.000, 0.000, 0.000)
Er (0.500, 0.500, 0.500)
Fe (0.750, 0.750, 0.750)

11.
Below is crystalline Hf4SnAsC2 at its relaxed geometry, with properties calculated at the PBE level.

a b c (Å): 3.387 3.387 13.483
angles (deg): 90.00 90.00 120.00
Fractional coordinates of all 8 atoms:
Hf (0.000, 0.000, 0.141)
Hf (0.000, 0.000, 0.859)
Hf (0.667, 0.333, 0.323)
Hf (0.667, 0.333, 0.677)
Sn (0.000, 0.000, 0.500)
As (0.667, 0.333, 0.000)
C (0.333, 0.667, 0.233)
C (0.333, 0.667, 0.767)

12.
Below is crystalline SmZn2Au4 at its relaxed geometry, with properties calculated at the PBE level.

a b c (Å): 5.647 5.647 5.346
angles (deg): 117.96 117.96 76.91
Fractional coordinates of all 7 atoms:
Sm (0.000, 0.000, 0.000)
Zn (0.500, 0.500, 0.248)
Zn (0.500, 0.500, 0.752)
Au (0.002, 0.602, 0.301)
Au (0.398, 0.998, 0.699)
Au (0.602, 0.002, 0.301)
Au (0.998, 0.398, 0.699)

The records above yield raw total energy values of -5.407; -8.601; -2.994; -5.468; -4.404; -4.580; -5.245; -8.675; -4.098; -5.639; -9.246; -3.420 eV per atom, respectively.